# 1
## CeTm2PuN4 (PBE)

Data for crystalline CeTm2PuN4 at its relaxed geometry.

```
CeTm2PuN4
1.0
5.9921 0.0000 0.0000
0.0000 3.4669 0.0000
-2.0183 0.0000 5.6704
Ce Tm Pu N
1 2 1 4
Cartesian
0.0000 0.0000 0.0000 Ce
-1.0092 1.7335 2.8352 Tm
1.9869 0.0000 2.8352 Tm
2.9961 1.7335 0.0000 Pu
0.9997 1.7335 1.4582 N
0.0124 0.0000 4.2380 N
3.9613 0.0000 1.4325 N
2.9741 1.7335 4.2122 N
```

Summary:
**Formation energy without anion corrections**: -1.5705 eV per atom
**Magnetization**: 0.660 μB/atom
**Volume**: 118 Å³ per cell
**Energy**: -9.3843 eV/atom
**Crystal system**: monoclinic

---

# 2
## K8Rb3Pb2 (PBE)

Data for crystalline K8Rb3Pb2 at its relaxed geometry.

```
K8Rb3Pb2
1.0
9.5926 0.0000 0.0000
0.0000 6.4625 0.0000
-2.7716 0.0000 13.2191
K Rb Pb
8 3 2
Cartesian
-0.4669 0.0000 3.7233 K
-1.0459 3.2312 12.0632 K
2.3055 3.2312 2.8481 K
1.8617 0.0000 11.2804 K
4.9593 0.0000 1.9387 K
4.5154 3.2312 10.3710 K
7.8669 3.2312 1.1560 K
7.2879 0.0000 9.4958 K
0.5358 3.2312 7.6549 Rb
3.4105 0.0000 6.6096 Rb
6.2852 3.2312 5.5642 Rb
1.4500 0.0000 0.5708 Pb
5.3710 0.0000 12.6483 Pb
```

Summary:
**Magnetization**: 0.000 μB/atom
**Volume**: 819 Å³ per cell
**Energy**: -1.5000 eV/atom
**Energy relative to the elements**: -0.0308 eV/atom
**Crystal system**: monoclinic

---

# 3
## GaNiHgRh2 (PBE)

Data for crystalline GaNiHgRh2 at its relaxed geometry.

```
GaNiHgRh2
1.0
4.9847 0.0000 0.0000
0.0000 4.9847 0.0000
0.0000 0.0000 4.6618
Ga Ni Hg Rh
1 1 1 2
Cartesian
0.0000 0.0000 0.0000 Ga
2.4923 2.4923 0.0000 Ni
2.4923 2.4923 2.3309 Hg
0.0000 2.4923 2.3309 Rh
2.4923 0.0000 2.3309 Rh
```

Summary:
**Magnetization**: 0.150 μB/atom
**Volume**: 116 Å³ per cell
**Energy**: -3.3545 eV/atom
**Energy relative to the elements**: 1.4081 eV/atom
**Crystal system**: tetragonal

---

# 4
## Nd2CdPd6 (PBE)

Data for crystalline Nd2CdPd6 at its relaxed geometry.

```
Nd2CdPd6
1.0
5.8299 0.0000 0.0000
-2.9149 5.0488 0.0000
0.0000 0.0000 6.0744
Nd Cd Pd
2 1 6
Cartesian
0.0000 3.3659 1.1244 Nd
2.9149 1.6829 4.9500 Nd
0.0000 0.0000 0.0000 Cd
0.0000 1.7850 4.1029 Pd
-1.3691 4.1563 4.1029 Pd
1.5459 0.8925 1.9715 Pd
1.3690 4.1563 4.1029 Pd
4.2840 0.8925 1.9715 Pd
2.9149 3.2638 1.9715 Pd
```

Summary:
**Magnetization**: 0.000 μB/atom
**Volume**: 179 Å³ per cell
**Energy**: -5.2613 eV/atom
**Energy relative to the elements**: -0.6382 eV/atom
**Crystal system**: trigonal